1.
An optimized crystal structure of GdLuGe. Source: the Alexandria database, functional PBE.

Lattice parameters (Å, degrees): 3.6431 3.6431 6.3108 106.78 106.78 90.00
Last column: nearest neighbours and their distance in Å.
Fractional positions:
Ge (0.2906, 0.2906, 0.5813)  4 Lu 3.01, 4 Gd 3.15
Gd (0.6335, 0.6335, 0.2671)  4 Ge 3.15, 5 Lu 3.37-3.52
Lu (0.9258, 0.9258, 0.8516)  4 Ge 3.01, 1 Gd 3.37

Computed properties:
E_form, eV/atom: -0.44

2.
An optimized crystal structure of B2C3. Source: the Alexandria database, functional PBE.

Lattice parameters (Å, degrees): 11.1718 11.1718 11.1718 13.41 13.41 13.41
Last column: nearest neighbours and their distance in Å.
Fractional positions:
B (0.8766, 0.8766, 0.8766)  4 C 1.58-1.67
B (0.7245, 0.7245, 0.7245)  4 C 1.62-1.72
B (0.2755, 0.2755, 0.2755)  4 C 1.62-1.72
B (0.1234, 0.1234, 0.1234)  4 C 1.58-1.67
C (0.5214, 0.5214, 0.5214)  1 C 1.42
C (0.0758, 0.0758, 0.0758)  4 B 1.58-1.62
C (0.9242, 0.9242, 0.9242)  4 B 1.58-1.62
C (0.4786, 0.4786, 0.4786)  1 C 1.42
C (0.6726, 0.6726, 0.6726)  3 C 1.56, 1 B 1.72
C (0.3274, 0.3274, 0.3274)  3 C 1.56, 1 B 1.72

Computed properties:
E_form, eV/atom: 0.34

3.
An optimized crystal structure of TaSi2Ir. Source: the Alexandria database, functional PBE.

Lattice parameters (Å, degrees): 2.8286 3.3141 6.1757 90.00 90.00 90.00
Last column: nearest neighbours and their distance in Å.
Fractional positions:
Ir (0.5000, 0.5000, 0.7500)  8 Si 2.61, 2 Ir 2.83
Si (0.0000, 0.0000, 0.9816)  4 Ir 2.61, 4 Ta 2.74, 3 Si 2.83-2.86
Si (0.0000, 0.0000, 0.5184)  4 Ir 2.61, 4 Ta 2.74, 3 Si 2.83-2.86
Ta (0.5000, 0.5000, 0.2500)  8 Si 2.74, 2 Ta 2.83

Computed properties:
Formation energy (no corrections), eV per atom: -0.291

4.
An optimized crystal structure of Ca2AlAu. Source: the Alexandria database, functional PBE.

Lattice parameters (Å, degrees): 4.4851 4.3327 5.9726 68.80 90.00 90.00
Last column: nearest neighbours and their distance in Å.
Fractional positions:
Ca (0.0000, 0.9787, 0.9183)  3 Al 3.16-3.27, 4 Au 3.26
Ca (0.5000, 0.2726, 0.3296)  3 Au 3.17-3.25, 4 Al 3.27
Au (0.5000, 0.5644, 0.7464)  2 Al 2.61
Al (0.0000, 0.6843, 0.5057)  2 Au 2.61

Computed properties:
E_form, eV/atom: -0.51

5.
An optimized crystal structure of CeTa3N6. Source: the Alexandria database, functional PBE.

Lattice parameters (Å, degrees): 3.2659 6.4859 6.4859 109.97 90.00 90.00
Last column: nearest neighbours and their distance in Å.
Fractional positions:
Ce (0.0000, 0.5000, 0.5000)  8 N 2.37-2.65
Ta (0.5000, 0.5000, 0.0000)  6 N 2.08-2.11
Ta (0.0000, 0.0000, 0.0000)  4 N 2.01
Ta (0.5000, 0.0000, 0.5000)  6 N 2.08-2.11
N (0.0000, 0.0660, 0.3258)  3 Ta 2.01-2.11
N (0.0000, 0.9340, 0.6742)  3 Ta 2.01-2.11
N (0.0000, 0.3258, 0.0660)  3 Ta 2.01-2.11
N (0.0000, 0.6742, 0.9340)  3 Ta 2.01-2.11
N (0.5000, 0.6619, 0.3381)  2 Ta 2.08
N (0.5000, 0.3381, 0.6619)  2 Ta 2.08

Computed properties:
Formation energy (no corrections), eV per atom: -0.993

6.
An optimized crystal structure of YGaS2. Source: the Alexandria database, functional PBE.

Lattice parameters (Å, degrees): 6.7186 6.7186 7.4337 63.13 63.13 90.00
Last column: nearest neighbours and their distance in Å.
Fractional positions:
Y (0.0000, 0.0000, 0.0000)  4 S 2.61
Y (0.7500, 0.2500, 0.5000)  4 S 2.61
S (0.6665, 0.1250, 0.2500)  2 Y 2.61
S (0.0835, 0.6250, 0.2500)  2 Y 2.61
S (0.3750, 0.3335, 0.7500)  2 Y 2.61
S (0.8750, 0.9165, 0.7500)  2 Y 2.61
Ga (0.5000, 0.5000, 0.0000)  4 S 2.95
Ga (0.2500, 0.7500, 0.5000)  4 S 2.95

Computed properties:
Formation energy (no corrections), eV per atom: -1.104

7.
An optimized crystal structure of ZnTc4. Source: the Alexandria database, functional PBE.

Lattice parameters (Å, degrees): 3.9130 4.7220 4.7220 99.88 114.48 65.52
Last column: nearest neighbours and their distance in Å.
Fractional positions:
Tc (0.2025, 0.2095, 0.6145)  9 Tc 2.67-2.84, 3 Zn 2.72-2.79
Tc (0.5880, 0.6145, 0.7905)  9 Tc 2.67-2.84, 3 Zn 2.72-2.79
Tc (0.7975, 0.7905, 0.3855)  9 Tc 2.67-2.84, 3 Zn 2.72-2.79
Tc (0.4120, 0.3855, 0.2095)  9 Tc 2.67-2.84, 3 Zn 2.72-2.79
Zn (0.0000, 0.0000, 0.0000)  12 Tc 2.72-2.79

Computed properties:
E_form, eV/atom: 0.08

8.
An optimized crystal structure of Li2Ce3Hg7. Source: the Alexandria database, functional PBE.

Lattice parameters (Å, degrees): 4.3816 4.9388 14.0642 100.11 90.00 90.00
Last column: nearest neighbours and their distance in Å.
Fractional positions:
Li (0.0000, 0.8718, 0.7436)  5 Hg 2.56-2.67
Li (0.0000, 0.1282, 0.2564)  5 Hg 2.56-2.67
Ce (0.5000, 0.5000, 0.0000)  12 Hg 3.30-3.34
Ce (0.5000, 0.6849, 0.3699)  8 Hg 3.40-3.45, 4 Li 3.66
Ce (0.5000, 0.3151, 0.6301)  8 Hg 3.40-3.45, 4 Li 3.66
Hg (0.0000, 0.4089, 0.8179)  2 Li 2.67
Hg (0.0000, 0.7793, 0.5586)  1 Li 2.56
Hg (0.0000, 0.0000, 0.0000)  4 Hg 3.11, 4 Ce 3.30
Hg (0.0000, 0.5911, 0.1821)  2 Li 2.67
Hg (0.5000, 0.0797, 0.1594)  2 Li 2.57
Hg (0.5000, 0.9203, 0.8406)  2 Li 2.57
Hg (0.0000, 0.2207, 0.4414)  1 Li 2.56

Computed properties:
E_form, eV/atom: -0.24

Number 1: total magnetic moment 8.47 μB per formula unit. Number 2: total magnetic moment 0.00 μB per formula unit. Number 3: total magnetic moment 0.00 μB per formula unit. Number 4: total magnetic moment 0.00 μB per formula unit. Number 5: total magnetic moment 0.18 μB per formula unit. Number 6: total magnetic moment 0.00 μB per formula unit. Number 7: total magnetic moment 0.00 μB per formula unit. Number 8: total magnetic moment 3.92 μB per formula unit.